# CaGaBiB2O7

A crystal of CaGaBiB2O7 relaxed with PBEsol (SCAN, Alexandria via LeMat-Bulk).

The space group is Cmm2 (No. 35) and the conventional cell measures 10.469, 10.485 and 4.782 Å, with angles of 90.00, 90.00 and 90.00 degrees. The asymmetric unit holds Ca at (0.162, 0.000, 0.000), Ga at (0.250, 0.250, 0.507), Bi at (0.000, 0.334, 0.011), B at (0.000, 0.131, 0.449), B at (0.135, 0.500, 0.562), O at (0.000, 0.000, 0.346), O at (0.000, 0.144, 0.747), O at (0.000, 0.500, 0.660), O at (0.114, 0.192, 0.298), O at (0.148, 0.500, 0.267) and O at (0.193, 0.386, 0.715).

The uncorrected formation energy comes out at -2.42 eV/atom. Its total magnetization is 0.00 μB per cell. The calculation puts the density of states at the Fermi level at 0.00 states/eV/f.u.

# Li2TeAu

A crystal of Li2TeAu relaxed with PBEsol (SCAN, Alexandria via LeMat-Bulk).

The space group is P4/mmm (No. 123) and the conventional cell measures 3.225, 3.225 and 7.030 Å, with angles of 90.00, 90.00 and 90.00 degrees. The asymmetric unit holds Li at (0.000, 0.000, 0.215), Te at (0.500, 0.500, 0.500) and Au at (0.500, 0.500, 0.000).

The uncorrected formation energy comes out at -0.58 eV/atom. The value obtained for the distance to the lowest polymorph of the same formula is 87 meV/atom. Its total magnetization is 0.00 μB per cell. The calculation puts the density of states at the Fermi level at 0.86 states/eV/f.u.

# LiFeSb2

A crystal of LiFeSb2 relaxed with PBEsol (SCAN, Alexandria via LeMat-Bulk).

The space group is Amm2 (No. 38) and the conventional cell measures 4.157, 3.435 and 9.845 Å, with angles of 90.00, 90.00 and 90.00 degrees. The asymmetric unit holds Li at (0.000, 0.000, 0.000), Fe at (0.500, 0.000, 0.842), Sb at (0.000, 0.000, 0.275) and Sb at (0.500, 0.000, 0.550).

The uncorrected formation energy comes out at 0.02 eV/atom. The value obtained for the distance to the lowest polymorph of the same formula is 0 meV/atom. Its total magnetization is 4.63 μB per cell. The calculation puts the density of states at the Fermi level at 1.80 states/eV/f.u.

# BiAsPPd2

A crystal of BiAsPPd2 relaxed with PBEsol (SCAN, Alexandria via LeMat-Bulk).

The space group is P4/mmm (No. 123) and the conventional cell measures 4.661, 4.661 and 4.763 Å, with angles of 90.00, 90.00 and 90.00 degrees. The asymmetric unit holds Bi at (0.000, 0.000, 0.000), As at (0.500, 0.500, 0.500), P at (0.500, 0.500, 0.000) and Pd at (0.000, 0.500, 0.500).

For the formation energy, the calculation gives 0.359 eV/atom. Its total magnetization is 0.00 μB per cell. The calculation puts the density of states at the Fermi level at 3.31 states/eV/f.u.

# CaB2Ir2

A crystal of CaB2Ir2 relaxed with PBEsol (SCAN, Alexandria via LeMat-Bulk).

The space group is Fddd (No. 70, origin choice 2) and the conventional cell measures 5.898, 9.209 and 10.703 Å, with angles of 90.00, 90.00 and 90.00 degrees. The asymmetric unit holds Ca at (0.125, 0.125, 0.125), B at (0.125, 0.303, 0.625) and Ir at (0.125, 0.125, 0.496).

For the formation energy, the calculation gives -0.809 eV/atom. Its total magnetization is 0.00 μB per cell. The calculation puts the density of states at the Fermi level at 0.85 states/eV/f.u.

# FePb3Cl

A crystal of FePb3Cl relaxed with PBEsol (SCAN, Alexandria via LeMat-Bulk).

The space group is Pm-3m (No. 221) and the conventional cell measures 5.029, 5.029 and 5.029 Å, with angles of 90.00, 90.00 and 90.00 degrees. The asymmetric unit holds Fe at (0.000, 0.000, 0.000), Pb at (0.000, 0.000, 0.500) and Cl at (0.500, 0.500, 0.500).

The uncorrected formation energy comes out at -0.09 eV/atom. Its total magnetization is 1.00 μB per cell. The calculation puts the density of states at the Fermi level at 1.46 states/eV/f.u.

# RbLi2Sb2

A crystal of RbLi2Sb2 relaxed with PBEsol (SCAN, Alexandria via LeMat-Bulk).

The space group is P4/mbm (No. 127) and the conventional cell measures 8.877, 8.877 and 3.142 Å, with angles of 90.00, 90.00 and 90.00 degrees. The asymmetric unit holds Rb at (0.000, 0.000, 0.000), Li at (0.127, 0.373, 0.000) and Sb at (0.156, 0.656, 0.500).

The uncorrected formation energy comes out at -0.49 eV/atom. The value obtained for the distance to the lowest polymorph of the same formula is 26 meV/atom. Its total magnetization is 0.00 μB per cell. The calculation puts the density of states at the Fermi level at 2.11 states/eV/f.u.

# Li5H9Pt2

A crystal of Li5H9Pt2 relaxed with PBEsol (SCAN, Alexandria via LeMat-Bulk).

The space group is I4/mcm (No. 140) and the conventional cell measures 8.247, 8.247 and 8.370 Å, with angles of 90.00, 90.00 and 90.00 degrees. The asymmetric unit holds Li at (0.000, 0.000, 0.000), Li at (0.148, 0.352, 0.159), H at (0.000, 0.500, 0.000), H at (0.074, 0.226, 0.363) and Pt at (0.157, 0.343, 0.500).

Its total magnetization is 0.00 μB per cell. The calculation puts the density of states at the Fermi level at 0.35 states/eV/f.u.

# Ca3Mg2Zn

A crystal of Ca3Mg2Zn relaxed with PBEsol (SCAN, Alexandria via LeMat-Bulk).

The space group is Cmcm (No. 63) and the conventional cell measures 9.509, 11.521 and 6.289 Å, with angles of 90.00, 90.00 and 90.00 degrees. The asymmetric unit holds Ca at (0.000, 0.078, 0.250), Ca at (0.177, 0.232, 0.750), Mg at (0.164, 0.500, 0.000) and Zn at (0.000, 0.339, 0.250).

For the formation energy, the calculation gives -0.074 eV/atom. Its total magnetization is 0.40 μB per cell. The calculation puts the density of states at the Fermi level at 4.63 states/eV/f.u.

# Mo2WSe4S2

A crystal of Mo2WSe4S2 relaxed with PBEsol (SCAN, Alexandria via LeMat-Bulk).

The space group is P-6m2 (No. 187) and the conventional cell measures 3.2228, 3.2228 and 20.2185 Å, with angles of 90.00, 90.00 and 120.00 degrees. The asymmetric unit holds Mo at (0.0000, 0.0000, 0.1837), W at (0.6667, 0.3333, 0.5000), Se at (0.6667, 0.3333, 0.1005), Se at (0.6667, 0.3333, 0.2668) and S at (0.0000, 0.0000, 0.4238).

The uncorrected formation energy comes out at -0.73 eV/atom. The value obtained for the distance to the lowest polymorph of the same formula is 0 meV/atom. Its total magnetization is 0.00 μB per cell.

# TlIn2Os

A crystal of TlIn2Os relaxed with PBEsol (SCAN, Alexandria via LeMat-Bulk).

The space group is I-4m2 (No. 119) and the conventional cell measures 4.276, 4.276 and 8.530 Å, with angles of 90.00, 90.00 and 90.00 degrees. The asymmetric unit holds Tl at (0.000, 0.000, 0.000), In at (0.000, 0.000, 0.500), In at (0.000, 0.500, 0.250) and Os at (0.000, 0.500, 0.750).

For the formation energy, the calculation gives 0.672 eV/atom. The value obtained for the distance to the lowest polymorph of the same formula is 315 meV/atom. Its total magnetization is 0.00 μB per cell. The calculation puts the density of states at the Fermi level at 1.51 states/eV/f.u.

# IrRu2Pb

A crystal of IrRu2Pb relaxed with PBEsol (SCAN, Alexandria via LeMat-Bulk).

The space group is Cmmm (No. 65) and the conventional cell measures 5.799, 7.500 and 2.867 Å, with angles of 90.00, 90.00 and 90.00 degrees. The asymmetric unit holds Ir at (0.000, 0.000, 0.000), Ru at (0.250, 0.250, 0.500) and Pb at (0.000, 0.500, 0.000).

For the formation energy, the calculation gives 0.617 eV/atom. Its total magnetization is 0.00 μB per cell. The calculation puts the density of states at the Fermi level at 5.68 states/eV/f.u.

E_tot values (in eV/atom) by entry order: -16.004, -28.375, -23.741, -34.584, -34.153, -50.783, -20.500, -11.986, -8.816, -27.287, -52.080, -53.516.